Computed, not measured: crystalline GdPa3 at its relaxed geometry at the PBE level of DFT.

Cell: 3.185 5.582 5.796 Å, 90.00 90.00 90.00°
Space group Pmm2 (No. 25)
Asymmetric unit:
Gd  0.000  0.000  0.000
Pa  0.000  0.500  0.273
Pa  0.500  0.000  0.495
Pa  0.500  0.500  0.761

## Properties
theoretical density	13.70	g/cm3
total moment	6.7	μB per formula unit
relative energy among the computed polymorphs	0.023	eV per atom
formation energy	0.72	eV/f.u.